# 1
# NdHoNi2P2, optimized geometry, DFT PBE
# Magnetic moment   0.0 Bohr magnetons per cell
# SG   No. 164
# E_tot   -6.41 eV/atom
data_NdHoNi2P2
_symmetry_space_group_name_H-M 'P 1'
_symmetry_Int_Tables_number 1
_cell_length_a 3.914
_cell_length_b 3.914
_cell_length_c 7.867
_cell_angle_alpha 90.00
_cell_angle_beta 90.00
_cell_angle_gamma 120.00
loop_
_symmetry_equiv_pos_as_xyz
'x,y,z'
loop_
_atom_site_label
_atom_site_type_symbol
_atom_site_fract_x
_atom_site_fract_y
_atom_site_fract_z
Nd1 Nd 0.000 0.000 0.000
Ho1 Ho 0.000 0.000 0.500
Ni1 Ni 0.333 0.667 0.742
Ni2 Ni 0.667 0.333 0.258
P1 P 0.333 0.667 0.262
P2 P 0.667 0.333 0.738

***

# 2
# Y3Tm2Lu2Ni2Te2, optimized geometry, DFT PBE
# Magnetic moment   0.0 Bohr magnetons per cell
# SG   No. 44
# E_tot   -5.66 eV/atom
data_Y3Tm2Lu2Ni2Te2
_symmetry_space_group_name_H-M 'P 1'
_symmetry_Int_Tables_number 1
_cell_length_a 9.258
_cell_length_b 9.258
_cell_length_c 9.258
_cell_angle_alpha 156.19
_cell_angle_beta 67.10
_cell_angle_gamma 118.31
loop_
_symmetry_equiv_pos_as_xyz
'x,y,z'
loop_
_atom_site_label
_atom_site_type_symbol
_atom_site_fract_x
_atom_site_fract_y
_atom_site_fract_z
Y1 Y 0.000 0.000 0.000
Y2 Y 0.307 0.622 0.685
Y3 Y 0.937 0.622 0.315
Tm1 Tm 0.287 0.419 0.868
Tm2 Tm 0.552 0.419 0.132
Lu1 Lu 0.623 0.270 0.353
Lu2 Lu 0.917 0.270 0.647
Ni1 Ni 0.165 0.927 0.238
Ni2 Ni 0.688 0.927 0.762
Te1 Te 0.267 0.767 0.500
Te2 Te 0.664 0.664 0.000

***

# 3
# Nd2Cu5Pd5, optimized geometry, DFT PBE
# Formation energy from the elements   -0.479 eV per atom
# Magnetic moment   0.0 Bohr magnetons per cell
# SG   No. 47
# E_tot   -4.98 eV/atom
data_Nd2Cu5Pd5
_symmetry_space_group_name_H-M 'P 1'
_symmetry_Int_Tables_number 1
_cell_length_a 4.357
_cell_length_b 5.118
_cell_length_c 9.142
_cell_angle_alpha 90.00
_cell_angle_beta 90.00
_cell_angle_gamma 90.00
loop_
_symmetry_equiv_pos_as_xyz
'x,y,z'
loop_
_atom_site_label
_atom_site_type_symbol
_atom_site_fract_x
_atom_site_fract_y
_atom_site_fract_z
Nd1 Nd 0.000 0.000 0.000
Nd2 Nd 0.000 0.500 0.500
Cu1 Cu 0.500 0.000 0.500
Cu2 Cu 0.500 0.250 0.257
Cu3 Cu 0.500 0.250 0.743
Cu4 Cu 0.500 0.750 0.257
Cu5 Cu 0.500 0.750 0.743
Pd1 Pd 0.000 0.000 0.335
Pd2 Pd 0.000 0.000 0.665
Pd3 Pd 0.000 0.500 0.178
Pd4 Pd 0.000 0.500 0.822
Pd5 Pd 0.500 0.500 0.000

***

# 4
# Sc2Cd, optimized geometry, DFT PBE
# Formation energy from the elements   1.708 eV per atom
# Magnetic moment   0.0 Bohr magnetons per cell
# SG   No. 227
# E_tot   -2.81 eV/atom
data_Sc2Cd
_symmetry_space_group_name_H-M 'P 1'
_symmetry_Int_Tables_number 1
_cell_length_a 8.654
_cell_length_b 8.654
_cell_length_c 8.654
_cell_angle_alpha 60.00
_cell_angle_beta 60.00
_cell_angle_gamma 60.00
loop_
_symmetry_equiv_pos_as_xyz
'x,y,z'
loop_
_atom_site_label
_atom_site_type_symbol
_atom_site_fract_x
_atom_site_fract_y
_atom_site_fract_z
Sc1 Sc 0.000 0.000 0.000
Sc2 Sc 0.000 0.000 0.500
Sc3 Sc 0.000 0.500 0.000
Sc4 Sc 0.500 0.000 0.000
Cd1 Cd 0.125 0.125 0.125
Cd2 Cd 0.875 0.875 0.875

***

The highest E_tot belongs to which entry?
Sc2Cd

***

The highest E_tot belongs to which entry?
Sc2Cd